Density functional theory data (GGA-PBE) for an optimized crystal structure of AcCeGdY.

Summary:
DFT formation energy: 0.190 eV per atom
DOS at the Fermi energy: 3.027 states/eV/atom
DFT total energy: -119.3 eV per cell

Geometry as CIF:
```
data_AcCeGdY
_chemical_formula_sum 'Ac4 Ce4 Gd4 Y4'
_symmetry_space_group_name_H-M 'F -4 3 m'
_symmetry_Int_Tables_number 216
_symmetry_space_group_name_Hall 'F -4 2 3'
_cell_length_a 8.283
_cell_length_b 8.283
_cell_length_c 8.283
_cell_angle_alpha 90.00
_cell_angle_beta 90.00
_cell_angle_gamma 90.00
loop_
_atom_site_label
_atom_site_type_symbol
_atom_site_fract_x
_atom_site_fract_y
_atom_site_fract_z
Ac1 Ac 0.000 0.000 0.000
Ce1 Ce 0.000 0.000 0.500
Gd1 Gd 0.250 0.250 0.750
Y1 Y 0.250 0.250 0.250
```

Density functional theory data (GGA-PBE) for an optimized crystal structure of Cu2GePd5.

Summary:
DFT formation energy: -0.192 eV per atom
DOS at the Fermi energy: 0.461 states/eV/atom
DFT total energy: -161.3 eV per cell

Geometry as CIF:
```
data_Cu2GePd5
_chemical_formula_sum 'Cu8 Ge4 Pd20'
_symmetry_space_group_name_H-M 'I 4/m c m'
_symmetry_Int_Tables_number 140
_symmetry_space_group_name_Hall '-I 4 2c'
_cell_length_a 6.343
_cell_length_b 6.343
_cell_length_c 11.785
_cell_angle_alpha 90.00
_cell_angle_beta 90.00
_cell_angle_gamma 90.00
loop_
_atom_site_label
_atom_site_type_symbol
_atom_site_fract_x
_atom_site_fract_y
_atom_site_fract_z
Cu1 Cu 0.133 0.367 0.000
Ge1 Ge 0.000 0.000 0.250
Pd1 Pd 0.000 0.000 0.000
Pd2 Pd 0.160 0.340 0.343
```

Which of these has the lowest DFT total energy? Cu2GePd5

What is the DOS at the Fermi energy in the second record? 0.461 states/eV/atom

DFT formation energy of number 1 (AcCeGdY)? 0.190 eV per atom

Which of these has the highest DFT total energy? AcCeGdY